Dy6Cd3Rh: optimized geometry, PBE.

Calculated values
Size of the total moment = 0.00 μB per cell
Calculated volume = 26.0 Å³ per atom
Formation energy from the elements = -0.339 eV per atom
DOS at the Fermi energy = 8.2 states/eV/f.u.

Lattice parameters (Å, degrees): 5.2832 9.0790 11.4211 108.50 90.00 90.00
Sites, in units of the cell vectors:
Dy: 0.2500 0.4658 0.0850
Dy: 0.7500 0.5342 0.9150
Dy: 0.2500 0.1256 0.1529
Dy: 0.7500 0.8744 0.8471
Dy: 0.2500 0.6856 0.6647
Dy: 0.7500 0.3144 0.3353
Dy: 0.2500 0.2240 0.4985
Dy: 0.7500 0.7760 0.5015
Dy: 0.2500 0.8500 0.3304
Dy: 0.7500 0.1500 0.6696
Dy: 0.2500 0.1070 0.8528
Dy: 0.7500 0.8930 0.1472
Cd: 0.2500 0.5102 0.3706
Cd: 0.7500 0.4898 0.6294
Cd: 0.2500 0.4140 0.7817
Cd: 0.7500 0.5860 0.2183
Cd: 0.2500 0.7707 0.9742
Cd: 0.7500 0.2293 0.0258
Rh: 0.2500 0.9590 0.5940
Rh: 0.7500 0.0410 0.4060